Record 1
A relaxed structure of BaFe3. Source: the Alexandria database, functional PBE.

Summary:
ΔH_f (0 K) = 1153 meV/atom
Space-group type = No. 221
Calculated density = 6.94 g/cm³
Final energy = -5.675 eV per atom

Unit cell a=4.179 b=4.179 c=4.179 alpha=90.00 beta=90.00 gamma=90.00
Sites, in units of the cell vectors:
Ba  0.000  0.000  0.000
Fe  0.000  0.500  0.500
Fe  0.500  0.000  0.500
Fe  0.500  0.500  0.000

***

Record 2
A relaxed structure of BaFe2. Source: the Alexandria database, functional PBE.

Summary:
ΔH_f (0 K) = 520 meV/atom
Space-group type = No. 71
Calculated density = 5.42 g/cm³
Final energy = -5.763 eV per atom

Unit cell a=3.871 b=6.622 c=11.912 alpha=90.00 beta=90.00 gamma=90.00
Sites, in units of the cell vectors:
Ba  0.000  0.000  0.168
Ba  0.000  0.000  0.832
Ba  0.500  0.500  0.332
Ba  0.500  0.500  0.668
Fe  0.000  0.171  0.500
Fe  0.000  0.500  0.094
Fe  0.000  0.500  0.906
Fe  0.000  0.829  0.500
Fe  0.500  0.000  0.406
Fe  0.500  0.000  0.594
Fe  0.500  0.329  0.000
Fe  0.500  0.671  0.000

***

Record 3
A relaxed structure of BaFe. Source: the Alexandria database, functional PBE.

Summary:
ΔH_f (0 K) = 459 meV/atom
Space-group type = No. 8
Calculated density = 4.88 g/cm³
Final energy = -4.734 eV per atom

Unit cell a=12.411 b=4.085 c=7.898 alpha=90.00 beta=99.94 gamma=90.00
Sites, in units of the cell vectors:
Ba  0.000  0.000  0.000
Ba  0.070  0.000  0.577
Ba  0.291  0.000  0.269
Ba  0.500  0.500  0.000
Ba  0.570  0.500  0.577
Ba  0.791  0.500  0.269
Fe  0.227  0.500  0.883
Fe  0.295  0.500  0.639
Fe  0.312  0.000  0.802
Fe  0.727  0.000  0.883
Fe  0.795  0.000  0.639
Fe  0.812  0.500  0.802

***

Record 4
A relaxed structure of BaFe2. Source: the Alexandria database, functional PBE.

Summary:
ΔH_f (0 K) = 666 meV/atom
Space-group type = No. 139
Calculated density = 6.31 g/cm³
Final energy = -5.617 eV per atom

Unit cell a=3.360 b=3.360 c=11.602 alpha=90.00 beta=90.00 gamma=90.00
Sites, in units of the cell vectors:
Ba  0.000  0.000  0.000
Ba  0.500  0.500  0.500
Fe  0.000  0.000  0.281
Fe  0.000  0.000  0.719
Fe  0.500  0.500  0.219
Fe  0.500  0.500  0.781

***

Record 5
A relaxed structure of Ba3Fe. Source: the Alexandria database, functional PBE.

Summary:
ΔH_f (0 K) = 496 meV/atom
Space-group type = No. 63
ΔE to the lowest computed polymorph = 0.193 eV per atom
Calculated density = 4.08 g/cm³
Final energy = -3.061 eV per atom

Unit cell a=7.898 b=22.395 c=4.305 alpha=90.00 beta=90.00 gamma=90.00
Sites, in units of the cell vectors:
Ba  0.000  0.234  0.250
Ba  0.000  0.766  0.750
Ba  0.238  0.416  0.250
Ba  0.238  0.584  0.750
Ba  0.262  0.084  0.750
Ba  0.262  0.916  0.250
Ba  0.500  0.266  0.750
Ba  0.500  0.734  0.250
Ba  0.738  0.084  0.750
Ba  0.738  0.916  0.250
Ba  0.762  0.416  0.250
Ba  0.762  0.584  0.750
Fe  0.000  0.342  0.750
Fe  0.000  0.658  0.250
Fe  0.500  0.158  0.250
Fe  0.500  0.842  0.750

***

Record 6
A relaxed structure of Ba4Fe. Source: the Alexandria database, functional PBE.

Summary:
ΔH_f (0 K) = 363 meV/atom
Space-group type = No. 87
ΔE to the lowest computed polymorph = 0.028 eV per atom
Calculated density = 4.11 g/cm³
Final energy = -2.868 eV per atom

Unit cell a=10.887 b=10.887 c=4.122 alpha=90.00 beta=90.00 gamma=90.00
Sites, in units of the cell vectors:
Ba  0.064  0.248  0.000
Ba  0.248  0.936  0.000
Ba  0.252  0.564  0.500
Ba  0.436  0.252  0.500
Ba  0.564  0.748  0.500
Ba  0.748  0.436  0.500
Ba  0.752  0.064  0.000
Ba  0.936  0.752  0.000
Fe  0.000  0.000  0.500
Fe  0.500  0.500  0.000

***

Record 7
A relaxed structure of BaFe. Source: the Alexandria database, functional PBE.

Summary:
ΔH_f (0 K) = 676 meV/atom
Space-group type = No. 164
Calculated density = 5.35 g/cm³
Final energy = -4.517 eV per atom

Unit cell a=3.788 b=3.788 c=9.647 alpha=90.00 beta=90.00 gamma=120.00
Sites, in units of the cell vectors:
Ba  0.333  0.667  0.217
Ba  0.667  0.333  0.783
Fe  0.333  0.667  0.521
Fe  0.667  0.333  0.479

***

Record 8
A relaxed structure of BaFe2. Source: the Alexandria database, functional PBE.

Summary:
ΔH_f (0 K) = 984 meV/atom
Space-group type = No. 58
Calculated density = 5.71 g/cm³
Final energy = -5.298 eV per atom

Unit cell a=3.105 b=7.931 c=5.880 alpha=90.00 beta=90.00 gamma=90.00
Sites, in units of the cell vectors:
Ba  0.000  0.000  0.000
Ba  0.500  0.500  0.500
Fe  0.238  0.390  0.000
Fe  0.262  0.890  0.500
Fe  0.738  0.110  0.500
Fe  0.762  0.610  0.000

***

Record 9
A relaxed structure of BaFe3. Source: the Alexandria database, functional PBE.

Summary:
ΔH_f (0 K) = 2879 meV/atom
Space-group type = No. 221
Calculated density = 1.99 g/cm³
Final energy = -3.949 eV per atom

Unit cell a=6.340 b=6.340 c=6.340 alpha=90.00 beta=90.00 gamma=90.00
Sites, in units of the cell vectors:
Ba  0.000  0.000  0.000
Fe  0.000  0.000  0.500
Fe  0.000  0.500  0.000
Fe  0.500  0.000  0.000

***

Record 10
A relaxed structure of BaFe. Source: the Alexandria database, functional PBE.

Summary:
ΔH_f (0 K) = 709 meV/atom
Space-group type = No. 217
Calculated density = 3.14 g/cm³
Final energy = -4.484 eV per atom

Unit cell a=9.354 b=9.354 c=9.354 alpha=90.00 beta=90.00 gamma=90.00
Sites, in units of the cell vectors:
Ba  0.213  0.213  0.787
Ba  0.213  0.787  0.213
Ba  0.287  0.287  0.287
Ba  0.287  0.713  0.713
Ba  0.713  0.287  0.713
Ba  0.713  0.713  0.287
Ba  0.787  0.213  0.213
Ba  0.787  0.787  0.787
Fe  0.087  0.087  0.087
Fe  0.087  0.913  0.913
Fe  0.413  0.413  0.587
Fe  0.413  0.587  0.413
Fe  0.587  0.413  0.413
Fe  0.587  0.587  0.587
Fe  0.913  0.087  0.913
Fe  0.913  0.913  0.087

***

Record 11
A relaxed structure of BaFe. Source: the Alexandria database, functional PBE.

Summary:
ΔH_f (0 K) = 1022 meV/atom
Space-group type = No. 198
Calculated density = 5.21 g/cm³
Final energy = -4.171 eV per atom

Unit cell a=6.269 b=6.269 c=6.269 alpha=90.00 beta=90.00 gamma=90.00
Sites, in units of the cell vectors:
Ba  0.080  0.420  0.580
Ba  0.420  0.580  0.080
Ba  0.580  0.080  0.420
Ba  0.920  0.920  0.920
Fe  0.096  0.904  0.404
Fe  0.404  0.096  0.904
Fe  0.596  0.596  0.596
Fe  0.904  0.404  0.096

***

Record 12
A relaxed structure of Ba3Fe. Source: the Alexandria database, functional PBE.

Summary:
ΔH_f (0 K) = 492 meV/atom
Space-group type = No. 44
ΔE to the lowest computed polymorph = 0.189 eV per atom
Calculated density = 4.08 g/cm³
Final energy = -3.066 eV per atom

Unit cell a=4.251 b=11.974 c=7.486 alpha=90.00 beta=90.00 gamma=90.00
Sites, in units of the cell vectors:
Ba  0.000  0.000  0.000
Ba  0.000  0.178  0.499
Ba  0.000  0.822  0.499
Ba  0.500  0.322  0.999
Ba  0.500  0.500  0.500
Ba  0.500  0.678  0.999
Fe  0.000  0.500  0.179
Fe  0.500  0.000  0.679

***

Record 13
A relaxed structure of BaFe2. Source: the Alexandria database, functional PBE.

Summary:
ΔH_f (0 K) = 1188 meV/atom
Space-group type = No. 189
Calculated density = 5.21 g/cm³
Final energy = -5.095 eV per atom

Unit cell a=7.076 b=7.076 c=5.487 alpha=90.00 beta=90.00 gamma=120.00
Sites, in units of the cell vectors:
Ba  0.000  0.000  0.000
Ba  0.333  0.667  0.500
Ba  0.667  0.333  0.500
Fe  0.000  0.189  0.500
Fe  0.000  0.462  0.000
Fe  0.189  0.000  0.500
Fe  0.462  0.000  0.000
Fe  0.538  0.538  0.000
Fe  0.811  0.811  0.500

***

Record 14
A relaxed structure of BaFe. Source: the Alexandria database, functional PBE.

Summary:
ΔH_f (0 K) = 487 meV/atom
Space-group type = No. 83
Calculated density = 4.52 g/cm³
Final energy = -4.706 eV per atom

Unit cell a=11.604 b=11.604 c=4.217 alpha=90.00 beta=90.00 gamma=90.00
Sites, in units of the cell vectors:
Ba  0.095  0.225  0.000
Ba  0.225  0.905  0.000
Ba  0.275  0.597  0.500
Ba  0.403  0.275  0.500
Ba  0.597  0.725  0.500
Ba  0.725  0.403  0.500
Ba  0.775  0.095  0.000
Ba  0.905  0.775  0.000
Fe  0.023  0.410  0.500
Fe  0.090  0.522  0.000
Fe  0.410  0.977  0.500
Fe  0.478  0.090  0.000
Fe  0.522  0.910  0.000
Fe  0.590  0.023  0.500
Fe  0.910  0.478  0.000
Fe  0.977  0.590  0.500

***

Record 15
A relaxed structure of Ba3Fe2. Source: the Alexandria database, functional PBE.

Summary:
ΔH_f (0 K) = 696 meV/atom
Space-group type = No. 164
ΔE to the lowest computed polymorph = 0.000 eV per atom
Calculated density = 4.24 g/cm³
Final energy = -3.843 eV per atom

Unit cell a=5.117 b=5.117 c=9.053 alpha=90.00 beta=90.00 gamma=120.00
Sites, in units of the cell vectors:
Ba  0.000  0.000  0.000
Ba  0.333  0.667  0.306
Ba  0.667  0.333  0.694
Fe  0.333  0.667  0.958
Fe  0.667  0.333  0.042

***

Record 16
A relaxed structure of BaFe3. Source: the Alexandria database, functional PBE.

Summary:
ΔH_f (0 K) = 608 meV/atom
Space-group type = No. 123
Calculated density = 6.72 g/cm³
Final energy = -6.220 eV per atom

Unit cell a=3.175 b=3.175 c=7.472 alpha=90.00 beta=90.00 gamma=90.00
Sites, in units of the cell vectors:
Ba  0.000  0.000  0.000
Fe  0.000  0.000  0.500
Fe  0.500  0.500  0.342
Fe  0.500  0.500  0.658

***

Record 17
A relaxed structure of Ba3Fe. Source: the Alexandria database, functional PBE.

Summary:
ΔH_f (0 K) = 706 meV/atom
Space-group type = No. 223
ΔE to the lowest computed polymorph = 0.402 eV per atom
Calculated density = 4.32 g/cm³
Final energy = -2.852 eV per atom

Unit cell a=7.114 b=7.114 c=7.114 alpha=90.00 beta=90.00 gamma=90.00
Sites, in units of the cell vectors:
Ba  0.000  0.250  0.500
Ba  0.000  0.750  0.500
Ba  0.250  0.500  0.000
Ba  0.500  0.000  0.250
Ba  0.500  0.000  0.750
Ba  0.750  0.500  0.000
Fe  0.000  0.000  0.000
Fe  0.500  0.500  0.500

***

Record 18
A relaxed structure of BaFe. Source: the Alexandria database, functional PBE.

Summary:
ΔH_f (0 K) = 795 meV/atom
Space-group type = No. 136
Calculated density = 4.42 g/cm³
Final energy = -4.398 eV per atom

Unit cell a=6.712 b=6.712 c=6.441 alpha=90.00 beta=90.00 gamma=90.00
Sites, in units of the cell vectors:
Ba  0.188  0.188  0.000
Ba  0.312  0.688  0.500
Ba  0.688  0.312  0.500
Ba  0.812  0.812  0.000
Fe  0.112  0.112  0.500
Fe  0.388  0.612  0.000
Fe  0.612  0.388  0.000
Fe  0.888  0.888  0.500

***

Record 19
A relaxed structure of Ba3Fe. Source: the Alexandria database, functional PBE.

Summary:
ΔH_f (0 K) = 653 meV/atom
Space-group type = No. 139
ΔE to the lowest computed polymorph = 0.349 eV per atom
Calculated density = 4.69 g/cm³
Final energy = -2.905 eV per atom

Unit cell a=6.159 b=6.159 c=8.726 alpha=90.00 beta=90.00 gamma=90.00
Sites, in units of the cell vectors:
Ba  0.000  0.000  0.000
Ba  0.000  0.500  0.250
Ba  0.000  0.500  0.750
Ba  0.500  0.000  0.250
Ba  0.500  0.000  0.750
Ba  0.500  0.500  0.500
Fe  0.000  0.000  0.500
Fe  0.500  0.500  0.000

***

Record 20
A relaxed structure of Ba4Fe. Source: the Alexandria database, functional PBE.

Summary:
ΔH_f (0 K) = 792 meV/atom
Space-group type = No. 139
ΔE to the lowest computed polymorph = 0.458 eV per atom
Calculated density = 3.86 g/cm³
Final energy = -2.438 eV per atom

Unit cell a=4.814 b=4.814 c=22.490 alpha=90.00 beta=90.00 gamma=90.00
Sites, in units of the cell vectors:
Ba  0.000  0.000  0.083
Ba  0.000  0.000  0.917
Ba  0.000  0.500  0.250
Ba  0.000  0.500  0.750
Ba  0.500  0.000  0.250
Ba  0.500  0.000  0.750
Ba  0.500  0.500  0.417
Ba  0.500  0.500  0.583
Fe  0.000  0.000  0.500
Fe  0.500  0.500  0.000

***

Record 21
A relaxed structure of BaFe. Source: the Alexandria database, functional PBE.

Summary:
ΔH_f (0 K) = 1485 meV/atom
Space-group type = No. 216
Calculated density = 3.56 g/cm³
Final energy = -3.708 eV per atom

Unit cell a=7.115 b=7.115 c=7.115 alpha=90.00 beta=90.00 gamma=90.00
Sites, in units of the cell vectors:
Ba  0.000  0.000  0.000
Ba  0.000  0.500  0.500
Ba  0.500  0.000  0.500
Ba  0.500  0.500  0.000
Fe  0.250  0.250  0.250
Fe  0.250  0.750  0.750
Fe  0.750  0.250  0.750
Fe  0.750  0.750  0.250

***

Record 22
A relaxed structure of Ba3Fe. Source: the Alexandria database, functional PBE.

Summary:
ΔH_f (0 K) = 525 meV/atom
Space-group type = No. 59
ΔE to the lowest computed polymorph = 0.222 eV per atom
Calculated density = 4.14 g/cm³
Final energy = -3.033 eV per atom

Unit cell a=4.573 b=8.252 c=9.956 alpha=90.00 beta=90.00 gamma=90.00
Sites, in units of the cell vectors:
Ba  0.250  0.009  0.157
Ba  0.250  0.491  0.157
Ba  0.250  0.750  0.498
Ba  0.750  0.250  0.502
Ba  0.750  0.509  0.843
Ba  0.750  0.991  0.843
Fe  0.250  0.250  0.797
Fe  0.750  0.750  0.203

***

Record 23
A relaxed structure of BaFe2. Source: the Alexandria database, functional PBE.

Summary:
ΔH_f (0 K) = 436 meV/atom
Space-group type = No. 63
Calculated density = 5.21 g/cm³
Final energy = -5.847 eV per atom

Unit cell a=3.997 b=19.619 c=4.045 alpha=90.00 beta=90.00 gamma=90.00
Sites, in units of the cell vectors:
Ba  0.000  0.106  0.250
Ba  0.000  0.894  0.750
Ba  0.500  0.394  0.750
Ba  0.500  0.606  0.250
Fe  0.000  0.250  0.750
Fe  0.000  0.316  0.250
Fe  0.000  0.684  0.750
Fe  0.000  0.750  0.250
Fe  0.500  0.184  0.750
Fe  0.500  0.250  0.250
Fe  0.500  0.750  0.750
Fe  0.500  0.816  0.250

***

Record 24
A relaxed structure of BaFe3. Source: the Alexandria database, functional PBE.

Summary:
ΔH_f (0 K) = 565 meV/atom
Space-group type = No. 62
Calculated density = 6.28 g/cm³
Final energy = -6.263 eV per atom

Unit cell a=7.459 b=6.698 c=6.450 alpha=90.00 beta=90.00 gamma=90.00
Sites, in units of the cell vectors:
Ba  0.021  0.250  0.120
Ba  0.479  0.750  0.620
Ba  0.521  0.250  0.380
Ba  0.979  0.750  0.880
Fe  0.138  0.074  0.583
Fe  0.138  0.426  0.583
Fe  0.140  0.750  0.346
Fe  0.360  0.250  0.846
Fe  0.362  0.574  0.083
Fe  0.362  0.926  0.083
Fe  0.638  0.074  0.917
Fe  0.638  0.426  0.917
Fe  0.640  0.750  0.154
Fe  0.860  0.250  0.654
Fe  0.862  0.574  0.417
Fe  0.862  0.926  0.417

***

Record 25
A relaxed structure of BaFe. Source: the Alexandria database, functional PBE.

Summary:
ΔH_f (0 K) = 1126 meV/atom
Space-group type = No. 225
Calculated density = 4.44 g/cm³
Final energy = -4.067 eV per atom

Unit cell a=6.609 b=6.609 c=6.609 alpha=90.00 beta=90.00 gamma=90.00
Sites, in units of the cell vectors:
Ba  0.000  0.000  0.000
Ba  0.000  0.500  0.500
Ba  0.500  0.000  0.500
Ba  0.500  0.500  0.000
Fe  0.000  0.000  0.500
Fe  0.000  0.500  0.000
Fe  0.500  0.000  0.000
Fe  0.500  0.500  0.500

***

Record 26
A relaxed structure of BaFe. Source: the Alexandria database, functional PBE.

Summary:
ΔH_f (0 K) = 697 meV/atom
Space-group type = No. 164
Calculated density = 5.07 g/cm³
Final energy = -4.496 eV per atom

Unit cell a=5.557 b=5.557 c=14.189 alpha=90.00 beta=90.00 gamma=120.00
Sites, in units of the cell vectors:
Ba  0.000  0.000  0.219
Ba  0.000  0.000  0.781
Ba  0.333  0.667  0.080
Ba  0.333  0.667  0.418
Ba  0.667  0.333  0.582
Ba  0.667  0.333  0.920
Fe  0.000  0.000  0.425
Fe  0.000  0.000  0.575
Fe  0.333  0.667  0.675
Fe  0.333  0.667  0.827
Fe  0.667  0.333  0.173
Fe  0.667  0.333  0.325